A plane-wave DFT calculation with PBE+U was carried out for PaNiAsO6 after structural relaxation.

Lattice parameters (Å, degrees): 5.3370 5.3370 8.7235 90.00 90.00 120.00
Last column: nearest neighbours and their distance in Å.
Space group P-31c (No. 163)
Asymmetric unit:
Pa  0.3333  0.6667  0.2500 x2  6 O 2.20
Ni  0.0000  0.0000  0.0000 x2  6 O 2.18
As  0.3333  0.6667  0.7500 x2  6 O 1.88
O  0.0454  0.3689  0.6307 x12  1 As 1.88

Output
- V: 11.955 A^3/atom
- Magnetization: 2.01 μB per formula unit
- E_tot: -7.081 eV per atom